# MgV8O8F8 PBE with a Hubbard U optimized geometry
data_MgV8O8F8
_cell_length_a 4.9296
_cell_length_b 5.7167
_cell_length_c 10.4811
_cell_angle_alpha 96.05
_cell_angle_beta 91.05
_cell_angle_gamma 92.84
_space_group_name_H-M_alt 'P 1'
_space_group_IT_number 1
_space_group_name_Hall 'P 1'
loop_
_atom_site_label
_atom_site_fract_x
_atom_site_fract_y
_atom_site_fract_z
Mg1 0.0000 0.0000 0.0000
V1 0.0149 0.1290 0.3435
V2 0.4768 0.1117 0.8328
V3 0.4898 0.3633 0.6002
V4 0.4946 0.8834 0.1132
V5 0.5148 0.6386 0.3734
V6 0.9702 0.5937 0.8495
V7 0.9796 0.4328 0.1181
V8 0.9973 0.8711 0.6001
O1 0.1720 0.1001 0.1696
O2 0.2890 0.0872 0.6594
O3 0.3014 0.8346 0.9306
O4 0.3022 0.3557 0.4243
O5 0.6832 0.3984 0.7692
O6 0.6868 0.9070 0.2813
O7 0.6892 0.6556 0.5385
O8 0.8038 0.6943 0.0230
F1 0.1467 0.3125 0.9278
F2 0.1811 0.8445 0.4227
F3 0.1823 0.5918 0.6785
F4 0.3304 0.5983 0.1898
F5 0.6699 0.1779 0.0284
F6 0.8054 0.4174 0.2940
F7 0.8083 0.1441 0.5224
F8 0.8282 0.9080 0.7881
# Offset from the most stable computed form, meV per atom: 8